No. 1
! Cs3Er3NpTe8 (PBE, optimized geometry); values from VASP
! Mass density = 5.7 g cm⁻³
! Volume = 41.8 Å³/atom
! Symmetry = R-3m
! E_tot = -0.35618 Ry/atom
&SYSTEM
  ibrav = 0, nat = 15, ntyp = 4
/
ATOMIC_SPECIES
Cs 132.91 Cs.upf
Er 167.26 Er.upf
Np 237.00 Np.upf
Te 127.60 Te.upf
CELL_PARAMETERS angstrom
4.460 2.575 9.101
-4.460 2.575 9.101
0.000 -5.150 9.101
ATOMIC_POSITIONS angstrom
Cs -2.230 -1.287 9.101
Cs -2.230 1.287 18.203
Cs 0.000 2.575 9.101
Er -4.460 0.000 13.652
Er -2.230 1.287 4.551
Er 2.230 1.287 4.551
Np 0.000 0.000 13.652
Te -2.237 -1.291 15.354
Te 0.000 0.000 6.259
Te 0.000 -2.583 11.950
Te -2.237 1.291 11.950
Te 2.237 -1.291 15.354
Te 0.000 2.583 15.354
Te 0.000 0.000 21.045
Te 2.237 1.291 11.950

---

No. 2
! CaYHo4Te8 (PBE, optimized geometry); values from VASP
! Mass density = 5.7 g cm⁻³
! Volume = 37.7 Å³/atom
! Symmetry = R3m
! E_tot = -0.36897 Ry/atom
&SYSTEM
  ibrav = 0, nat = 14, ntyp = 4
/
ATOMIC_SPECIES
Ca 40.08 Ca.upf
Y 88.91 Y.upf
Ho 164.93 Ho.upf
Te 127.60 Te.upf
CELL_PARAMETERS angstrom
4.534 2.618 7.413
-4.534 2.618 7.413
0.000 -5.236 7.413
ATOMIC_POSITIONS angstrom
Ca 0.000 0.000 0.000
Y 0.000 0.000 13.959
Ho -2.305 -1.331 10.186
Ho 0.000 0.000 5.571
Ho 2.305 -1.331 10.186
Ho 0.000 2.661 10.186
Te 0.000 0.000 8.528
Te 0.000 -2.457 11.987
Te -2.128 1.229 11.987
Te -2.096 -1.210 15.848
Te 2.128 1.229 11.987
Te 0.000 0.000 19.245
Te 2.096 -1.210 15.848
Te 0.000 2.421 15.848